P.
## CaBePt3 (PBE)

Data for CaBePt3 after structural relaxation.

Values from the calculation:
- volume (Å³ per cell) = 339
- D(E_F) (states/eV/atom) = 0.639
- total magnetic moment (μB per cell) = 0.0

Cell and atoms, written as CIF:
```
data_CaBePt3
_space_group_name_H-M_alt 'P 1 21/c 1'
_space_group_IT_number 14
_cell_length_a 8.430
_cell_length_b 4.669
_cell_length_c 11.145
_cell_angle_alpha 90.00
_cell_angle_beta 129.37
_cell_angle_gamma 90.00
loop_
_space_group_symop_operation_xyz
'x,y,z'
'-x,-y,-z'
'-x,y+1/2,-z+1/2'
'x,-y+1/2,z+1/2'
loop_
_atom_site_label
_atom_site_type_symbol
_atom_site_fract_x
_atom_site_fract_y
_atom_site_fract_z
Ca1 Ca 0.177 0.244 0.043
Be1 Be 0.215 0.517 0.318
Pt1 Pt 0.117 0.014 0.276
Pt2 Pt 0.394 0.745 0.254
Pt3 Pt 0.481 0.749 0.558
```


Q.
## CaBePt3 (PBE)

Data for CaBePt3 after structural relaxation.

Values from the calculation:
- volume (Å³ per cell) = 344
- D(E_F) (states/eV/atom) = 0.399
- total magnetic moment (μB per cell) = 0.0

Cell and atoms, written as CIF:
```
data_CaBePt3
_space_group_name_H-M_alt 'A m m 2'
_space_group_IT_number 38
_cell_length_a 5.596
_cell_length_b 5.466
_cell_length_c 11.255
_cell_angle_alpha 90.00
_cell_angle_beta 90.00
_cell_angle_gamma 90.00
loop_
_space_group_symop_operation_xyz
'x,y,z'
'-x,-y,z'
'-x,y,z'
'x,-y,z'
'x,y+1/2,z+1/2'
'-x,-y+1/2,z+1/2'
'-x,y+1/2,z+1/2'
'x,-y+1/2,z+1/2'
loop_
_atom_site_label
_atom_site_type_symbol
_atom_site_fract_x
_atom_site_fract_y
_atom_site_fract_z
Ca1 Ca 0.000 0.000 0.000
Ca2 Ca 0.500 0.000 0.181
Be1 Be 0.308 0.000 0.786
Pt1 Pt 0.000 0.238 0.263
Pt2 Pt 0.247 0.000 0.588
Pt3 Pt 0.500 0.247 0.419
```


R.
## CaBePt3 (PBE)

Data for CaBePt3 after structural relaxation.

Values from the calculation:
- volume (Å³ per cell) = 552
- D(E_F) (states/eV/atom) = 0.453
- total magnetic moment (μB per cell) = 0.0

Cell and atoms, written as CIF:
```
data_CaBePt3
_space_group_name_H-M_alt 'R -3'
_space_group_IT_number 148
_space_group_name_Hall '-R 3'
_cell_length_a 5.3879
_cell_length_b 5.3879
_cell_length_c 21.9430
_cell_angle_alpha 90.00
_cell_angle_beta 90.00
_cell_angle_gamma 120.00
loop_
_atom_site_label
_atom_site_type_symbol
_atom_site_fract_x
_atom_site_fract_y
_atom_site_fract_z
Ca1 Ca 0.0000 0.0000 0.1662
Be1 Be 0.0000 0.0000 0.3702
Pt1 Pt 0.0028 0.4386 0.3876
```


S.
## CaBePt3 (PBE)

Data for CaBePt3 after structural relaxation.

Values from the calculation:
- volume (Å³ per cell) = 486
- D(E_F) (states/eV/atom) = 0.381
- total magnetic moment (μB per cell) = 0.0

Cell and atoms, written as CIF:
```
data_CaBePt3
_space_group_name_H-M_alt 'I -4 m 2'
_space_group_IT_number 119
_space_group_name_Hall 'I -4 -2'
_cell_length_a 4.834
_cell_length_b 4.834
_cell_length_c 20.780
_cell_angle_alpha 90.00
_cell_angle_beta 90.00
_cell_angle_gamma 90.00
loop_
_atom_site_label
_atom_site_type_symbol
_atom_site_fract_x
_atom_site_fract_y
_atom_site_fract_z
Ca1 Ca 0.000 0.000 0.000
Ca2 Ca 0.000 0.500 0.250
Be1 Be 0.000 0.500 0.630
Pt1 Pt 0.000 0.000 0.373
Pt2 Pt 0.000 0.247 0.125
```


Stability ranking, top entry: Q; the second entry is 41 meV per atom less favorable.


P.
## CaBePt3 (PBE)

Data for CaBePt3 after structural relaxation.

Values from the calculation:
- volume (Å³ per cell) = 506
- D(E_F) (states/eV/atom) = 0.231
- total magnetic moment (μB per cell) = 0.0

Cell and atoms, written as CIF:
```
data_CaBePt3
_space_group_name_H-M_alt 'R -3 c'
_space_group_IT_number 167
_space_group_name_Hall '-R 3 2"c'
_cell_length_a 7.6050
_cell_length_b 7.6050
_cell_length_c 10.0982
_cell_angle_alpha 90.00
_cell_angle_beta 90.00
_cell_angle_gamma 120.00
loop_
_atom_site_label
_atom_site_type_symbol
_atom_site_fract_x
_atom_site_fract_y
_atom_site_fract_z
Ca1 Ca 0.0000 0.0000 0.0000
Be1 Be 0.0000 0.0000 0.2500
Pt1 Pt 0.0000 0.2796 0.2500
```


Q.
## CaBePt3 (PBE)

Data for CaBePt3 after structural relaxation.

Values from the calculation:
- volume (Å³ per cell) = 416
- D(E_F) (states/eV/atom) = 1.149
- total magnetic moment (μB per cell) = 0.0

Cell and atoms, written as CIF:
```
data_CaBePt3
_space_group_name_H-M_alt 'C m c m'
_space_group_IT_number 63
_space_group_name_Hall '-C 2c 2'
_cell_length_a 5.101
_cell_length_b 15.334
_cell_length_c 5.314
_cell_angle_alpha 90.00
_cell_angle_beta 90.00
_cell_angle_gamma 90.00
loop_
_atom_site_label
_atom_site_type_symbol
_atom_site_fract_x
_atom_site_fract_y
_atom_site_fract_z
Ca1 Ca 0.000 0.182 0.250
Be1 Be 0.000 0.488 0.250
Pt1 Pt 0.000 0.000 0.000
Pt2 Pt 0.245 0.368 0.250
```


Stability ranking, top entry: P; the second entry is 45 meV per atom less favorable.